CaPbW2 | PBEsol | optimized geometry

Unit cell a=2.915 b=2.915 c=9.846 alpha=90.00 beta=90.00 gamma=107.64
Fractional coordinates of all 4 atoms:
1 W 0.000 0.000 0.237
2 Ca 0.500 0.500 0.500
3 Pb 0.500 0.500 0.000
4 W 0.000 0.000 0.763

Total moment ... 0.0 Bohr magnetons per cell
ΔE_f ... 1.105 eV per atom
VASP energy ... -7.3314 eV/atom
DOS(E_F) ... 2.7 states/eV per cell